# 1
This record from Alexandria via LeMat-Bulk describes a relaxed structure of Rb3PmHo2Te6. The functional is PBE-GGA.

Structure (extended XYZ):
```
12
Lattice="7.878 -0.001 0.000 -3.938 6.823 0.000 -1.314 -2.275 8.557" Properties=species:S:1:pos:R:3 pbc="T T T"
Ho 3.942 2.272 0.000
Ho -0.002 4.550 0.000
Te 0.026 0.046 6.847
Te -0.053 4.547 6.842
Te 2.679 0.000 1.714
Te -1.339 2.321 1.714
Te 2.600 4.501 1.710
Te 3.965 2.226 6.842
Rb 1.313 2.273 4.278
Rb -2.647 4.561 4.278
Rb 5.273 -0.014 4.278
Pm 0.000 0.000 0.000
```

Results
M_tot, μB/cell: 0.00
Crystal system: monoclinic
E, eV/atom: -4.3571
Raw formation energy, eV/atom: -1.39
Space-group type: No. 12

---

# 2
This record from Alexandria via LeMat-Bulk describes a relaxed structure of NaZrAl2Br. The functional is PBE-GGA.

Structure (extended XYZ):
```
5
Lattice="-0.642 -2.061 4.911 6.780 -1.272 0.353 0.799 4.853 2.141" Properties=species:S:1:pos:R:3 pbc="T T T"
Al 0.400 2.427 1.071
Al -0.321 -1.030 2.456
Na 3.390 -0.636 0.176
Br 3.469 0.760 3.703
Zr 0.000 0.000 0.000
```

Results
M_tot, μB/cell: 3.04
Crystal system: tetragonal
E, eV/atom: -3.0106
Raw formation energy, eV/atom: 0.79
DOS(E_F), states/eV/atom: 1.44
Space-group type: No. 123

---

# 3
This record from Alexandria via LeMat-Bulk describes a relaxed structure of La3DyS4. The functional is PBE-GGA.

Structure (extended XYZ):
```
16
Lattice="7.093 0.062 0.000 -2.428 6.701 0.000 0.000 0.000 8.147" Properties=species:S:1:pos:R:3 pbc="T T T"
S 6.449 1.685 5.155
S 5.236 5.182 7.189
S 2.902 1.654 2.992
S 2.975 1.611 7.189
S 1.762 5.109 5.155
S -1.784 5.078 2.992
S -0.572 1.580 0.958
S 1.690 5.151 0.958
La 0.559 3.366 7.125
La 1.773 0.015 5.093
La 4.106 3.397 1.022
La 5.320 0.046 3.054
La 4.106 3.397 5.085
La 0.559 3.366 3.062
Dy 5.320 0.046 7.127
Dy 1.773 0.015 1.020
```

Results
M_tot, μB/cell: 0.00
Crystal system: monoclinic
E, eV/atom: -6.6073
Energy above the most stable polymorph in this dataset, eV per atom: 0.0000
Raw formation energy, eV/atom: -2.12
DOS(E_F), states/eV/atom: 0.48
Space-group type: No. 13

---

# 4
This record from Alexandria via LeMat-Bulk describes a relaxed structure of Rb2PuBr2Cl4. The functional is PBE-GGA.

Structure (extended XYZ):
```
9
Lattice="-3.402 -0.181 -6.869 -1.756 -5.209 5.345 -1.665 5.555 5.016" Properties=species:S:1:pos:R:3 pbc="T T T"
Cl -1.687 2.967 5.095
Cl -1.734 -2.622 5.266
Cl -4.366 0.168 4.304
Cl -2.458 -0.004 -0.812
Rb -3.435 -2.609 1.828
Rb -3.389 2.773 1.664
Br -0.868 0.088 2.629
Br -2.554 0.258 7.733
Pu 0.000 0.000 0.000
```

Results
M_tot, μB/cell: 4.00
Crystal system: tetragonal
E, eV/atom: -4.7602
Raw formation energy, eV/atom: -1.76
DOS(E_F), states/eV/atom: 0.58
Space-group type: No. 139

---

# 5
This record from Alexandria via LeMat-Bulk describes a relaxed structure of Pm2MgAl4Ir3. The functional is PBE-GGA.

Structure (extended XYZ):
```
10
Lattice="4.139 0.000 0.000 0.000 4.139 0.000 0.000 0.000 11.258" Properties=species:S:1:pos:R:3 pbc="T T T"
Ir 0.000 2.069 1.479
Ir 0.000 0.000 5.629
Ir 2.069 0.000 9.779
Al 2.069 2.069 0.000
Al 0.000 0.000 0.000
Al 2.069 0.000 7.244
Al 0.000 2.069 4.013
Pm 0.000 2.069 8.608
Pm 2.069 0.000 2.649
Mg 2.069 2.069 5.629
```

Results
M_tot, μB/cell: 0.00
Crystal system: tetragonal
E, eV/atom: -5.9687
ΔH_f (0 K), meV per atom: -704
DOS(E_F), states/eV/atom: 0.73
Space-group type: No. 115

---

# 6
This record from Alexandria via LeMat-Bulk describes a relaxed structure of Dy6HoTm2Th3. The functional is PBE-GGA.

Structure (extended XYZ):
```
12
Lattice="6.151 0.001 0.006 -3.073 5.328 0.006 -1.038 -1.797 11.513" Properties=species:S:1:pos:R:3 pbc="T T T"
Dy -0.008 -0.014 8.612
Dy 3.068 1.761 8.618
Dy 2.048 -0.006 2.907
Dy 2.048 3.546 2.912
Dy -0.008 3.538 8.618
Dy -1.028 1.771 2.907
Th -2.055 3.542 5.762
Th 4.095 -0.010 5.762
Th 1.020 1.766 5.762
Tm 3.077 1.776 0.006
Tm 0.001 3.553 0.006
Ho 0.000 0.000 0.000
```

Results
M_tot, μB/cell: 0.00
Crystal system: monoclinic
E, eV/atom: -5.2562
ΔH_f (0 K), meV per atom: 26
DOS(E_F), states/eV/atom: 1.54
Space-group type: No. 12

---

# 7
This record from Alexandria via LeMat-Bulk describes a relaxed structure of PaMnBi. The functional is PBE-GGA.

Structure (extended XYZ):
```
6
Lattice="4.452 0.000 0.000 0.000 4.452 0.000 -2.226 -2.226 6.928" Properties=species:S:1:pos:R:3 pbc="T T T"
Pa 0.000 0.000 1.674
Pa 2.226 2.226 5.254
Bi 0.000 0.000 5.051
Bi 2.226 2.226 1.877
Mn 0.000 2.226 0.000
Mn 2.226 0.000 0.000
```

Results
M_tot, μB/cell: 0.00
Crystal system: tetragonal
E, eV/atom: -7.4833
ΔH_f (0 K), meV per atom: 32
DOS(E_F), states/eV/atom: 1.06
Space-group type: No. 139

---

# 8
This record from Alexandria via LeMat-Bulk describes a relaxed structure of Ac4HPt2Pb. The functional is PBE-GGA.

Structure (extended XYZ):
```
16
Lattice="-0.712 4.463 -0.623 -6.623 -3.421 -0.231 -1.502 1.882 15.196" Properties=species:S:1:pos:R:3 pbc="T T T"
Ac -7.076 0.398 10.934
Ac -4.905 3.348 12.882
Ac -4.500 2.841 8.787
Ac -3.933 -0.424 1.459
Ac -1.761 2.527 3.407
Ac -4.338 0.084 5.554
Ac 0.000 0.000 0.000
Ac -0.751 0.941 7.598
Pb -2.694 1.145 11.275
Pb -6.144 1.780 3.066
Pt -2.856 2.746 6.231
Pt -6.552 0.894 13.884
Pt -5.981 0.178 8.110
Pt -2.285 2.031 0.457
H -2.619 0.088 3.624
H -6.219 2.836 10.717
```

Results
M_tot, μB/cell: 0.00
Crystal system: orthorhombic
E, eV/atom: -5.2821
DOS(E_F), states/eV/atom: 0.88
Space-group type: No. 63

---

# 9
This record from Alexandria via LeMat-Bulk describes a relaxed structure of YHoMgNi. The functional is PBE-GGA.

Structure (extended XYZ):
```
4
Lattice="-2.322 2.285 1.122 -1.784 -2.544 1.488 4.150 0.965 6.624" Properties=species:S:1:pos:R:3 pbc="T T T"
Ni 2.392 0.556 3.817
Y -0.532 0.224 3.732
Ho 1.158 0.617 6.430
Mg 0.284 0.066 0.453
```

Results
M_tot, μB/cell: 0.00
Crystal system: tetragonal
E, eV/atom: -4.8571
ΔH_f (0 K), meV per atom: -253
Energy above the most stable polymorph in this dataset, eV per atom: 0.0000
DOS(E_F), states/eV/atom: 0.59
Space-group type: No. 99

---

# 10
This record from Alexandria via LeMat-Bulk describes a relaxed structure of BeCrIr3. The functional is PBE-GGA.

Structure (extended XYZ):
```
5
Lattice="-0.672 3.427 -2.108 1.566 -1.745 -3.337 -3.706 -1.359 -1.028" Properties=species:S:1:pos:R:3 pbc="T T T"
Be 0.000 0.000 0.000
Ir 0.783 -0.873 -1.669
Ir -0.336 1.713 -1.054
Ir -1.853 -0.680 -0.514
Cr -1.406 0.161 -3.237
```

Results
M_tot, μB/cell: 0.18
Crystal system: cubic
E, eV/atom: -7.5206
ΔH_f (0 K), meV per atom: 466
Energy above the most stable polymorph in this dataset, eV per atom: 0.0000
DOS(E_F), states/eV/atom: 1.54
Space-group type: No. 221

---

# 11
This record from Alexandria via LeMat-Bulk describes a relaxed structure of BaAl2CdFe. The functional is PBE-GGA.

Structure (extended XYZ):
```
5
Lattice="4.723 0.000 0.000 0.000 4.723 0.000 0.000 0.000 5.166" Properties=species:S:1:pos:R:3 pbc="T T T"
Al 2.361 0.000 0.000
Al 0.000 2.361 0.000
Cd 0.000 0.000 2.583
Fe 0.000 0.000 0.000
Ba 2.361 2.361 2.583
```

Results
M_tot, μB/cell: 0.00
Crystal system: tetragonal
E, eV/atom: -3.8855
ΔH_f (0 K), meV per atom: -128
DOS(E_F), states/eV/atom: 0.27
Space-group type: No. 123

---

# 12
This record from Alexandria via LeMat-Bulk describes a relaxed structure of CdBr. The functional is PBE-GGA.

Structure (extended XYZ):
```
4
Lattice="3.986 -0.007 0.000 -2.026 3.433 0.000 0.000 0.000 9.428" Properties=species:S:1:pos:R:3 pbc="T T T"
Cd 0.980 1.713 2.398
Cd 0.000 0.000 4.673
Br 0.000 0.000 0.562
Br 0.980 1.713 6.509
```

Results
M_tot, μB/cell: 0.00
Crystal system: orthorhombic
E, eV/atom: -1.7066
Raw formation energy, eV/atom: -0.41
DOS(E_F), states/eV/atom: 0.20
Space-group type: No. 67

---

# 13
This record from Alexandria via LeMat-Bulk describes a relaxed structure of Tb12Nd3Zr. The functional is PBE-GGA.

Structure (extended XYZ):
```
16
Lattice="-4.840 1.185 -0.694 -0.791 -4.485 -2.138 -4.486 -7.786 17.989" Properties=species:S:1:pos:R:3 pbc="T T T"
Tb -2.066 -5.142 5.629
Tb -2.816 -1.650 -1.416
Tb -0.916 -3.146 1.019
Tb -4.090 -2.307 6.352
Tb -2.941 -0.311 1.741
Tb -3.211 -7.129 10.222
Tb -6.201 -7.526 12.161
Tb -5.235 -4.294 10.944
Tb -3.916 -3.559 2.996
Tb -5.059 -5.543 7.579
Tb -4.361 -9.125 14.833
Tb -6.385 -6.290 15.555
Nd -1.107 -1.922 4.440
Nd -3.379 -5.865 13.550
Nd -2.243 -3.893 8.995
Zr 0.000 0.000 0.000
```

Results
M_tot, μB/cell: 0.00
Crystal system: tetragonal
E, eV/atom: -4.8632
ΔH_f (0 K), meV per atom: 38
DOS(E_F), states/eV/atom: 1.38
Space-group type: No. 123